The following is a DFT calculation (PBE) of an optimized crystal structure of Nd2TcHg.

Properties
VASP energy, eV per atom: -5.186
Formation enthalpy at 0 K, eV/f.u.: -0.542

a = 3.5998 Å, b = 3.5998 Å, c = 7.7970 Å
α = 90.00°, β = 90.00°, γ = 90.00°
Last column: nearest neighbours and their distance in Å.
Fractional coordinates of all 4 atoms:
Nd 0.0000 0.0000 0.2178  4 Tc 3.06, 4 Hg 3.36, 1 Nd 3.40
Nd 0.0000 0.0000 0.7822  4 Tc 3.06, 4 Hg 3.36, 1 Nd 3.40
Tc 0.5000 0.5000 0.0000  8 Nd 3.06
Hg 0.5000 0.5000 0.5000  8 Nd 3.36, 4 Hg 3.60

=====

The following is a DFT calculation (PBE) of an optimized crystal structure of BaLi2Bi3.

Properties
Energy above the most stable polymorph in this dataset, meV per atom: 75
VASP energy, eV per atom: -3.351
Formation enthalpy at 0 K, eV/f.u.: -2.710

a = 7.8759 Å, b = 7.8759 Å, c = 6.2892 Å
α = 90.00°, β = 90.00°, γ = 77.87°
Last column: nearest neighbours and their distance in Å.
Fractional coordinates of all 12 atoms:
Ba 0.1838 0.8162 0.7500  3 Bi 3.60-3.66
Ba 0.8162 0.1838 0.2500  3 Bi 3.60-3.66
Li 0.2911 0.2911 0.0000  6 Bi 2.91-3.14, 2 Li 3.14
Li 0.2911 0.2911 0.5000  6 Bi 2.91-3.14, 2 Li 3.14
Li 0.7089 0.7089 0.0000  6 Bi 2.91-3.14, 2 Li 3.14
Li 0.7089 0.7089 0.5000  6 Bi 2.91-3.14, 2 Li 3.14
Bi 0.0155 0.5638 0.2500  4 Li 2.91-3.14
Bi 0.4362 0.9845 0.2500  4 Li 2.91-3.14
Bi 0.4528 0.5472 0.2500  4 Li 3.04, 2 Bi 3.28
Bi 0.5472 0.4528 0.7500  4 Li 3.04, 2 Bi 3.28
Bi 0.5638 0.0155 0.7500  4 Li 2.91-3.14
Bi 0.9845 0.4362 0.7500  4 Li 2.91-3.14